No. 1
Compound: YZrOsPt
Source: the Alexandria database
Functional: PBE
Structure: relaxed

* energy relative to the elements: -0.626 eV/atom

POSCAR file:
```
YZrOsPt
1.0
-1.734 -1.976 4.002
-1.311 -4.605 0.023
2.605 -3.219 2.404
Y Os Zr Pt
1 1 1 1
Cartesian
-0.220 -4.900 3.214
-0.110 -2.450 1.607
0.000 0.000 0.000
-0.330 -7.351 4.822
```

***

No. 2
Compound: Li3Pt5
Source: the Alexandria database
Functional: PBE
Structure: relaxed

* energy relative to the elements: -0.544 eV/atom

POSCAR file:
```
Li3Pt5
1.0
-3.026 0.314 4.549
0.349 -3.932 3.790
2.396 1.045 4.808
Li Pt
3 5
Cartesian
-1.338 -1.809 4.169
1.372 -1.443 4.299
-0.315 0.680 4.678
0.175 -1.966 1.895
-1.513 0.157 2.274
1.198 0.523 2.404
-0.141 -1.286 6.573
0.000 0.000 0.000
```

***

No. 3
Compound: Pr8Co3NCl4
Source: the Alexandria database
Functional: PBE
Structure: relaxed

* E_form (uncorrected): -951 meV/atom

POSCAR file:
```
Pr8Co3NCl4
1.0
7.797 0.000 0.000
0.000 8.786 0.581
-3.898 -3.952 5.640
Pr Co N Cl
8 3 1 4
Cartesian
-2.043 2.246 5.901
0.000 4.297 2.993
0.000 0.520 3.144
2.043 2.246 5.901
1.855 2.588 0.321
3.898 4.314 3.078
3.898 0.537 3.229
5.941 2.588 0.321
3.898 4.393 0.291
1.949 2.417 3.111
-1.949 2.417 3.111
0.000 4.393 0.291
3.898 0.000 0.000
1.949 -1.976 2.820
0.000 0.000 0.000
-1.949 -1.976 2.820
```

***

No. 4
Compound: Nd2MgHg
Source: the Alexandria database
Functional: PBE
Structure: relaxed

* energy relative to the elements: -0.268 eV/atom

POSCAR file:
```
Nd2MgHg
1.0
5.450 0.000 0.000
2.725 4.720 0.000
2.725 1.573 4.450
Mg Nd Hg
1 2 1
Cartesian
5.450 3.147 2.225
2.725 1.573 1.112
8.175 4.720 3.337
0.000 0.000 0.000
```

***

No. 5
Compound: ScAs2Se
Source: the Alexandria database
Functional: PBE
Structure: relaxed

* E_form (uncorrected): -473 meV/atom

POSCAR file:
```
ScAs2Se
1.0
5.423 0.006 0.006
1.985 5.047 -0.006
-3.235 -3.214 2.935
As Sc Se
2 1 1
Cartesian
0.059 0.040 0.000
0.895 1.953 1.465
3.862 2.634 0.000
3.061 -0.262 1.471
```

***

No. 6
Compound: Be4AgMo
Source: the Alexandria database
Functional: PBE
Structure: relaxed

* energy relative to the elements: 0.125 eV/atom

POSCAR file:
```
Be4AgMo
1.0
3.752 -0.521 2.450
0.204 -3.218 3.156
2.623 -3.616 -0.632
Be Ag Mo
4 1 1
Cartesian
4.307 -3.041 3.070
3.762 -4.536 1.581
2.594 -4.343 3.410
2.495 -2.789 1.886
0.000 0.000 0.000
4.934 -5.516 3.731
```

***

No. 7
Compound: Tm12Fe6Hg
Source: the Alexandria database
Functional: PBE
Structure: relaxed

* energy relative to the elements: -0.098 eV/atom

POSCAR file:
```
Tm12Fe6Hg
1.0
1.363 -3.770 -7.206
0.624 -5.479 6.130
-7.567 3.275 0.000
Tm Fe Hg
12 6 1
Cartesian
-5.627 0.956 -1.512
-0.760 -3.177 0.873
-4.820 -2.798 -1.948
0.046 -6.930 0.436
-1.606 -3.828 4.199
-1.457 -1.946 -2.350
-4.124 -4.029 1.275
-3.975 -2.147 -5.274
0.507 -4.329 -3.983
-3.270 -0.751 0.420
-2.311 -5.223 -1.495
-6.087 -1.646 2.908
-5.882 -1.295 0.266
0.302 -4.680 -1.341
-1.704 -5.481 1.844
-3.876 -0.493 -2.919
-2.330 -3.841 -4.020
-3.250 -2.133 2.945
0.000 0.000 0.000
```

***

No. 8
Compound: CsRb2NaAu
Source: the Alexandria database
Functional: PBE
Structure: relaxed

* energy relative to the elements: -0.085 eV/atom

POSCAR file:
```
CsRb2NaAu
1.0
6.993 0.000 0.000
0.000 6.993 0.000
0.000 0.000 6.106
Cs Na Au Rb
1 1 1 2
Cartesian
3.497 3.497 3.053
0.000 0.000 3.053
0.000 0.000 0.000
0.000 3.497 0.000
3.497 0.000 0.000
```

***

No. 9
Compound: Tb3Ho2Cd4
Source: the Alexandria database
Functional: PBE
Structure: relaxed

* energy relative to the elements: -0.131 eV/atom

POSCAR file:
```
Tb3Ho2Cd4
1.0
-6.146 -1.444 -2.135
1.721 -7.854 0.358
0.028 0.463 10.008
Tb Ho Cd
6 4 8
Cartesian
0.000 0.000 0.000
-2.213 -4.649 -0.888
-1.796 -6.384 4.287
-5.674 -3.174 2.877
-2.601 -2.452 3.945
1.277 -5.662 5.354
0.479 -4.766 1.844
-4.876 -4.069 6.387
-2.316 -1.004 7.348
-2.080 -7.831 0.884
-2.823 -6.471 7.303
-4.647 -3.086 -0.139
-1.574 -2.364 0.928
0.250 -5.749 8.371
0.721 -7.777 3.185
-5.118 -1.059 5.046
-1.254 -3.945 6.278
-3.143 -4.891 1.953
```

***

No. 10
Compound: ScAsSe2
Source: the Alexandria database
Functional: PBE
Structure: relaxed

* E_form (uncorrected): -583 meV/atom

POSCAR file:
```
ScAsSe2
1.0
-0.293 -2.381 2.428
2.894 -1.454 -1.078
3.588 3.949 4.307
As Sc Se
1 1 2
Cartesian
2.198 -0.930 1.751
3.992 1.044 3.905
3.467 3.816 4.162
1.915 2.108 2.298
```

***

No. 11
Compound: Tb10Tl3Sb3
Source: the Alexandria database
Functional: PBE
Structure: relaxed

* E_form (uncorrected): -637 meV/atom

POSCAR file:
```
Tb10Tl3Sb3
1.0
-0.398 -6.268 2.020
-5.018 -2.003 -7.205
8.968 -0.706 -0.422
Tb Tl Sb
10 3 3
Cartesian
-0.456 -3.144 -4.437
4.206 -2.712 -2.176
4.008 -5.832 -1.170
-0.655 -6.265 -3.431
6.643 -3.672 0.688
-4.028 -4.662 -4.487
0.737 -3.776 -0.798
2.136 -0.168 -0.101
-1.195 -0.477 -1.716
3.009 -2.064 -5.810
3.346 -3.413 0.843
-2.183 -3.926 -1.838
2.189 -4.772 -3.602
5.437 -0.428 -0.256
-3.043 -1.214 -4.368
1.555 -1.066 -3.003
```

***

No. 12
Compound: Tb2Nd5Sn4
Source: the Alexandria database
Functional: PBE
Structure: relaxed

* energy relative to the elements: -0.427 eV/atom

POSCAR file:
```
Tb2Nd5Sn4
1.0
-2.799 2.837 2.081
-5.966 -2.733 -4.300
2.938 -7.119 8.801
Tb Nd Sn
2 5 4
Cartesian
-4.486 -0.921 0.080
-1.342 -6.093 6.502
-4.930 -4.416 -0.611
-0.897 -2.598 7.193
-1.714 -2.755 1.452
-1.400 1.419 1.041
-4.114 -4.259 5.130
-4.868 -2.925 2.298
-4.332 -2.142 -2.906
-0.960 -4.089 4.284
-1.496 -4.873 9.488
```

***

No. 13
Compound: PrNd3Ho2P6
Source: the Alexandria database
Functional: PBE
Structure: relaxed

* energy relative to the elements: -1.546 eV/atom

POSCAR file:
```
PrNd3Ho2P6
1.0
-0.127 -1.563 -6.954
4.255 -3.657 4.398
-6.308 -2.693 1.938
Pr Nd Ho P
1 3 2 6
Cartesian
0.000 0.000 0.000
0.375 -4.657 3.487
-2.556 -3.256 -4.106
-1.090 -3.957 -0.309
2.796 -2.960 0.618
1.332 -2.260 -3.174
-2.426 -5.589 -2.379
1.526 -4.521 -1.423
0.245 -2.325 1.761
-0.935 -6.301 1.483
-3.706 -3.393 0.805
-1.245 -1.612 -2.101
```

***

No. 14
Compound: CrPt4Au
Source: the Alexandria database
Functional: PBE
Structure: relaxed

* energy relative to the elements: 0.091 eV/atom

POSCAR file:
```
CrPt4Au
1.0
0.345 -0.519 5.229
-3.550 -2.894 2.599
1.400 -4.622 2.101
Cr Pt Au
1 4 1
Cartesian
0.000 0.000 0.000
-0.505 -3.272 6.339
0.023 -5.325 4.774
-2.454 -4.460 5.023
-0.677 -3.012 3.723
-1.355 -6.026 7.447
```

***

No. 15
Compound: Pr5Er4In
Source: the Alexandria database
Functional: PBE
Structure: relaxed

* energy relative to the elements: -0.018 eV/atom

POSCAR file:
```
Pr5Er4In
1.0
4.194 0.000 0.000
0.000 4.194 0.000
0.000 0.000 18.514
Pr Er In
5 4 1
Cartesian
2.097 2.097 1.684
2.097 2.097 5.454
2.097 2.097 9.257
2.097 2.097 13.061
2.097 2.097 16.830
0.000 0.000 3.581
0.000 0.000 7.356
0.000 0.000 11.158
0.000 0.000 14.933
0.000 0.000 0.000
```

***

No. 16
Compound: LiAgSe2
Source: the Alexandria database
Functional: PBE
Structure: relaxed

* E_form (uncorrected): -370 meV/atom

POSCAR file:
```
LiAgSe2
1.0
3.764 0.000 0.000
0.000 2.906 -0.144
0.000 0.520 7.280
Ag Li Se
1 1 2
Cartesian
1.882 0.857 1.784
1.882 2.570 5.352
0.000 1.245 7.127
0.000 0.988 3.722
```

***

No. 17
Compound: LaAl2Hg
Source: the Alexandria database
Functional: PBE
Structure: relaxed

* energy relative to the elements: -0.219 eV/atom

POSCAR file:
```
LaAl2Hg
1.0
-2.658 1.602 -1.720
-1.741 -3.087 -0.185
-3.259 1.454 6.391
Al Hg La
2 1 1
Cartesian
-0.166 0.074 0.325
-2.964 -0.401 0.547
-1.478 0.659 2.898
-4.680 0.365 3.911
```

***

No. 18
Compound: K2DyCd3Hg12
Source: the Alexandria database
Functional: PBE
Structure: relaxed

* energy relative to the elements: -0.071 eV/atom

POSCAR file:
```
K2DyCd3Hg12
1.0
-13.291 1.459 1.120
-10.904 1.188 7.728
-10.549 7.204 4.106
K Dy Cd Hg
2 1 3 12
Cartesian
-22.192 6.292 8.274
-12.552 3.559 4.680
0.000 0.000 0.000
-6.645 0.730 0.560
-5.452 0.594 3.864
-5.274 3.602 2.053
-18.759 7.156 7.069
-25.650 5.220 9.479
-24.314 8.019 10.934
-19.955 4.651 5.767
-25.477 8.151 7.714
-18.914 4.532 8.649
-15.984 2.695 5.884
-9.093 4.631 3.475
-10.429 1.832 2.019
-14.788 5.200 7.186
-9.267 1.700 5.239
-15.829 5.318 4.304
```

***

No. 19
Compound: LaNiOs2
Source: the Alexandria database
Functional: PBE
Structure: relaxed

* energy relative to the elements: 0.466 eV/atom

POSCAR file:
```
LaNiOs2
1.0
-2.982 -1.917 3.042
1.783 -4.220 -0.913
5.015 -2.028 7.223
Ni Os La
2 4 2
Cartesian
-0.599 -3.069 1.065
3.099 -4.659 3.688
0.209 -1.850 2.985
1.399 -3.768 2.224
3.668 -4.667 6.034
2.356 -6.048 7.463
0.000 0.000 0.000
0.717 -3.507 5.665
```

***

No. 20
Compound: Mn2TlRh
Source: the Alexandria database
Functional: PBE
Structure: relaxed

* energy relative to the elements: 0.488 eV/atom

POSCAR file:
```
Mn2TlRh
1.0
7.356 0.000 0.000
0.000 7.356 0.000
3.678 3.678 2.730
Tl Mn Rh
2 4 2
Cartesian
0.000 0.000 0.000
7.356 3.678 1.365
5.254 1.839 0.683
2.103 5.517 0.683
5.517 5.781 2.048
9.195 8.932 2.048
3.678 3.678 0.000
3.678 7.356 1.365
```

***

No. 21
Compound: Nd2SmZn2Ge2
Source: the Alexandria database
Functional: PBE
Structure: relaxed

* energy relative to the elements: -0.490 eV/atom

POSCAR file:
```
Nd2SmZn2Ge2
1.0
-2.982 0.547 2.896
-2.069 -3.310 1.530
6.199 -2.003 9.796
Nd Sm Zn Ge
2 1 2 2
Cartesian
3.318 -1.608 6.755
-2.171 -3.158 7.467
0.000 0.000 0.000
-1.889 -2.045 4.512
3.036 -2.721 9.711
1.429 -3.653 11.267
-0.282 -1.113 2.956
```

***

No. 22
Compound: SrLi3Al
Source: the Alexandria database
Functional: PBE
Structure: relaxed

* energy relative to the elements: 1.026 eV/atom

POSCAR file:
```
SrLi3Al
1.0
-3.776 3.144 2.666
-2.537 -4.622 1.857
3.249 0.044 4.549
Sr Al Li
1 1 3
Cartesian
0.000 0.000 0.000
-1.532 -0.717 4.536
-1.269 -2.311 0.928
1.624 0.022 2.275
-1.888 1.572 1.333
```

***

No. 23
Compound: Pa3MnSn
Source: the Alexandria database
Functional: PBE
Structure: relaxed

* energy relative to the elements: -0.048 eV/atom

POSCAR file:
```
Pa3MnSn
1.0
-1.392 -4.132 2.456
4.636 -1.829 -0.450
1.269 2.150 4.337
Pa Sn Mn
3 1 1
Cartesian
2.318 -0.915 -0.225
0.635 1.075 2.168
-0.696 -2.066 1.228
2.257 -1.906 3.171
0.000 0.000 0.000
```

***

No. 24
Compound: BaBeAg2Pt
Source: the Alexandria database
Functional: PBE
Structure: relaxed

* energy relative to the elements: -0.174 eV/atom

POSCAR file:
```
BaBeAg2Pt
1.0
-4.355 -1.948 -0.593
2.007 -4.344 -0.466
-0.334 -0.646 4.575
Ag Ba Pt Be
2 1 1 1
Cartesian
1.003 -2.172 -0.233
-2.177 -0.974 -0.297
-1.341 -3.469 1.758
-0.167 -0.323 2.288
0.000 0.000 0.000
```

***

Which DFT total energy belongs to each record? In order, -34.8, -40.3, -90.5, -12.5, -21.0, -27.8, -106.6, -7.8, -55.8, -20.3, -76.0, -53.8, -79.3, -36.5, -45.1, -13.2, -13.6, -14.4, -62.6, -52.2, -29.5, -6.0, -41.9, -18.3 eV for the cell shown.
Which calculated volume belongs to each record? In order, 19.41, 14.50, 25.27, 28.61, 20.07, 10.82, 22.71, 59.72, 28.16, 19.97, 28.96, 33.75, 24.65, 17.21, 32.57, 19.98, 23.05, 30.42, 22.91, 18.47, 25.04, 34.94, 25.06, 21.41 Å³/atom.